1.
A geometry-optimized LiThSe structure. Source: the Alexandria database, functional PBE-GGA.

Cell and atoms, written as POSCAR:
```
LiThSe
1.0
-2.5457 -2.4528 -1.6142
3.7106 -1.1209 0.5293
-4.1303 -2.6836 10.5919
Se Li Th
2 2 2
direct
0.9232 0.8464 0.8132 Se
0.0768 0.1536 0.1868 Se
0.6140 0.2280 0.8883 Li
0.3860 0.7720 0.1117 Li
0.2023 0.4045 0.6296 Th
0.7977 0.5955 0.3704 Th
```

Output
Total moment: 0.00 μB/atom
Crystal system: monoclinic
Final energy: -31.1 eV per cell
V: 25.3 Å³ per atom

---

2.
A geometry-optimized CeGdDyAl structure. Source: the Alexandria database, functional PBE-GGA.

Cell and atoms, written as POSCAR:
```
CeGdDyAl
1.0
5.3601 0.0000 0.0000
2.6800 4.6420 0.0000
2.6800 1.5473 4.3765
Dy Ce Al Gd
1 1 1 1
direct
0.5000 0.5000 0.5000 Dy
0.7500 0.7500 0.7500 Ce
0.0000 0.0000 0.0000 Al
0.2500 0.2500 0.2500 Gd
```

Output
ΔE_f: -3.16 kJ per mole of atoms
Total moment: 2.13 μB/atom
Crystal system: cubic
Final energy: -28.5 eV per cell
V: 27.2 Å³ per atom

---

- final energy of number 2 (CeGdDyAl)?
  -28.5 eV per cell

---

- final energy of number 2 (CeGdDyAl)?
  -28.5 eV per cell